4
Lattice="-3.156 1.052 5.024 -0.045 -4.075 4.439 2.867 1.149 5.174" Properties=species:S:1:pos:R:3 comment="AcNdSmEu | Alexandria | PBE | relaxed" formation_energy_mev_per_atom=146 space_group=F-43m pbc="T T T"
Eu 0.000 0.000 0.000
Ac -0.167 -0.937 7.319
Nd -0.084 -0.468 3.659
Sm -0.251 -1.405 10.978

***

8
Lattice="-0.836 -3.135 -2.972 4.197 -4.933 4.023 -4.443 -3.616 5.064" Properties=species:S:1:pos:R:3 comment="AgGeTe4Pb2 | Alexandria | PBE | relaxed" space_group=P2/m e_form_raw_ev_per_atom=-0.184 pbc="T T T"
Ag -0.123 -4.274 4.544
Ge -2.762 -7.650 5.590
Te -0.339 -6.314 6.756
Te -0.743 -5.369 -0.641
Te 1.473 -6.071 2.733
Te -2.554 -5.613 3.383
Pb -4.443 -3.616 5.064
Pb -2.640 -3.375 1.046

***

5
Lattice="5.320 0.000 0.000 0.000 5.375 -1.446 0.000 -0.016 5.566" Properties=species:S:1:pos:R:3 comment="BaSb3Pt | Alexandria | PBE | relaxed" space_group=Cmmm e_form_raw_ev_per_atom=-0.306 pbc="T T T"
Ba 2.660 0.000 0.000
Sb 2.660 2.680 2.060
Sb 0.000 -0.008 2.783
Sb 0.000 2.688 -0.723
Pt 0.000 2.680 2.060

***

12
Lattice="-2.597 -2.569 5.610 3.282 -5.729 -1.105 5.225 2.322 3.482" Properties=species:S:1:pos:R:3 comment="Zr2Sc | Alexandria | PBE | relaxed" formation_energy_mev_per_atom=967 space_group=Pa-3 pbc="T T T"
Sc 0.000 0.000 0.000
Sc 0.343 -4.149 2.253
Sc 1.314 -0.124 4.546
Sc 4.253 -1.704 1.189
Zr 1.952 -1.974 2.638
Zr 3.958 -4.003 5.349
Zr 1.900 -1.551 6.802
Zr 4.010 -4.426 1.185
Zr 1.873 -6.083 3.431
Zr 4.037 0.107 4.556
Zr 6.095 -2.345 3.104
Zr -0.185 -3.631 4.884

***

12
Lattice="-3.739 0.052 1.489 0.623 -9.112 1.886 4.823 5.742 6.472" Properties=species:S:1:pos:R:3 comment="RbU3Pd2S6 | Alexandria | PBE | relaxed" space_group=C2/m e_form_raw_ev_per_atom=-1.136 pbc="T T T"
Rb -1.870 0.026 0.744
U -1.558 -4.530 1.687
U 0.193 2.278 5.847
U 1.514 -5.596 4.000
Pd 0.737 -0.424 7.309
Pd 0.970 -2.894 2.538
S 2.505 -5.116 6.472
S -0.558 -3.793 4.173
S -0.798 1.798 3.375
S 1.171 3.090 8.274
S 0.536 -6.407 1.573
S 2.265 0.476 5.674

***

4
Lattice="-2.372 -3.668 1.321 -1.905 -3.828 -1.596 2.891 -3.155 0.636" Properties=species:S:1:pos:R:3 comment="Fe2AsRu | Alexandria | PBE | relaxed" formation_energy_mev_per_atom=67 space_group=Cm pbc="T T T"
As -0.247 -2.795 0.113
Fe -1.522 -10.487 0.331
Fe -0.814 -8.124 0.315
Ru -0.882 -5.220 0.145

***

4
Lattice="0.000 3.657 3.657 3.657 0.000 3.657 3.657 3.657 0.000" Properties=species:S:1:pos:R:3 comment="ZnPPb2 | Alexandria | PBE | relaxed" formation_energy_mev_per_atom=417 space_group=F-43m pbc="T T T"
Zn 5.485 5.485 5.485
P 3.657 3.657 3.657
Pb 0.000 0.000 0.000
Pb 1.828 1.828 1.828

***

10
Lattice="3.790 0.000 0.000 0.000 3.790 0.000 0.000 0.000 19.340" Properties=species:S:1:pos:R:3 comment="La5Zn4I | Alexandria | PBE | relaxed" space_group=P4/mmm e_form_raw_ev_per_atom=-0.429 pbc="T T T"
La 1.895 1.895 2.272
La 1.895 1.895 5.959
La 1.895 1.895 9.670
La 1.895 1.895 13.381
La 1.895 1.895 17.067
Zn 0.000 0.000 4.128
Zn 0.000 0.000 7.772
Zn 0.000 0.000 11.568
Zn 0.000 0.000 15.212
I 0.000 0.000 0.000

***

4
Lattice="2.928 0.000 0.000 0.000 2.928 0.000 0.000 0.000 7.606" Properties=species:S:1:pos:R:3 comment="CoAs2Ru | Alexandria | PBE | relaxed" formation_energy_mev_per_atom=-22 space_group=P4mm pbc="T T T"
As 0.000 0.000 7.040
As 1.464 1.464 2.549
Co 0.000 0.000 3.847
Ru 1.464 1.464 5.579

***

16
Lattice="5.933 0.074 -0.036 -1.661 5.697 -0.036 -1.816 -2.452 6.702" Properties=species:S:1:pos:R:3 comment="RbTiAsO5 | Alexandria | PBE | relaxed" space_group=C2/c e_form_raw_ev_per_atom=-2.005 pbc="T T T"
Rb 0.416 3.210 1.639
Rb 2.040 0.109 4.990
Ti -0.908 -1.226 3.351
Ti 0.000 0.000 0.000
As 3.159 1.179 1.639
As -0.703 2.140 4.990
O -1.771 4.829 1.639
O 4.227 -1.510 4.990
O 4.581 1.418 0.677
O -2.124 1.901 5.953
O 3.346 -0.251 2.602
O -0.889 3.569 4.027
O 2.899 2.554 2.655
O -0.442 0.765 3.975
O 1.768 1.027 0.624
O 0.689 2.292 6.006

***

8
Lattice="-0.007 2.410 -4.468 4.360 -2.285 -1.240 -0.287 -3.576 -4.812" Properties=species:S:1:pos:R:3 comment="AsRu2N | Alexandria | PBE | relaxed" space_group=I-42d e_form_raw_ev_per_atom=0.124 pbc="T T T"
Ru 0.469 0.134 -3.792
Ru 2.652 -1.828 -2.894
Ru 1.766 -2.818 -5.849
Ru 3.244 -2.389 -8.504
As 0.000 0.000 0.000
As 0.941 -0.552 -6.067
N 2.176 0.062 -2.854
N 3.125 -2.899 -4.453

***

4
Lattice="5.044 0.000 0.000 2.522 4.368 0.000 2.522 1.456 4.118" Properties=species:S:1:pos:R:3 comment="SrDyPt2 | Alexandria | PBE | relaxed" formation_energy_mev_per_atom=-928 space_group=Fm-3m pbc="T T T"
Sr 5.044 2.912 2.059
Pt 2.522 1.456 1.030
Pt 7.566 4.368 3.089
Dy 0.000 0.000 0.000

***

22
Lattice="-2.993 4.790 8.079 -2.267 -0.545 -9.578 -1.866 -12.553 3.716" Properties=species:S:1:pos:R:3 comment="Tb7Er3Th | Alexandria | PBE | relaxed" formation_energy_mev_per_atom=152 space_group=C2/m pbc="T T T"
Tb -2.800 -3.211 -7.102
Tb -3.728 -9.497 -5.241
Tb -2.345 -6.312 -1.307
Tb -1.413 -0.040 -3.165
Tb -5.479 -9.992 -0.325
Tb -4.547 -3.720 -2.181
Tb -4.025 -7.294 2.039
Tb -3.102 -1.014 0.179
Tb -1.648 1.685 2.543
Tb -2.580 -4.587 4.399
Tb -5.713 -8.268 5.383
Tb -4.781 -1.996 3.525
Tb -3.399 1.189 7.459
Tb -4.326 -5.097 9.320
Er -5.524 -4.894 6.081
Er 0.000 0.000 0.000
Er -0.933 -6.276 1.858
Er -1.966 -0.743 4.973
Er -5.161 -7.564 -2.756
Er -1.603 -3.414 -3.864
Th -2.630 2.122 -0.749
Th -3.563 -4.154 1.109

***

4
Lattice="-0.434 -4.377 -1.642 -0.284 0.815 4.615 -5.665 0.742 -0.480" Properties=species:S:1:pos:R:3 comment="SrCdInNi | Alexandria | PBE | relaxed" formation_energy_mev_per_atom=-153 space_group=P3m1 pbc="T T T"
Sr -5.514 -1.975 0.009
Cd -2.783 0.364 -0.236
In -2.215 -0.669 2.370
Ni -2.681 -2.346 0.249

***

4
Lattice="-1.950 5.004 -5.221 -5.407 4.130 -3.132 -2.677 6.815 -1.578" Properties=species:S:1:pos:R:3 comment="SrAs2Se | Alexandria | PBE | relaxed" space_group=R-3m e_form_raw_ev_per_atom=-0.206 pbc="T T T"
Sr -7.525 11.963 -7.449
As -9.874 15.697 -9.774
As -5.176 8.228 -5.123
Se -2.508 3.988 -2.483

***

12
Lattice="3.775 0.000 0.000 0.000 11.131 0.000 0.000 0.000 5.349" Properties=species:S:1:pos:R:3 comment="TcSe | Alexandria | PBE | relaxed" space_group=Amm2 e_form_raw_ev_per_atom=0.034 pbc="T T T"
Tc 0.000 3.351 5.008
Tc 0.000 7.781 5.008
Tc 0.000 8.916 2.333
Tc 0.000 2.215 2.333
Tc 1.887 0.000 2.486
Tc 1.887 5.566 5.161
Se 1.887 9.244 3.967
Se 1.887 1.887 3.967
Se 1.887 3.679 1.292
Se 1.887 7.452 1.292
Se 0.000 0.000 0.973
Se 0.000 5.566 3.648

***

14
Lattice="-4.492 2.286 0.479 0.731 -5.087 4.373 2.901 4.702 4.772" Properties=species:S:1:pos:R:3 comment="Li2Al5 | Alexandria | PBE | relaxed" formation_energy_mev_per_atom=-64 space_group=C2/c pbc="T T T"
Li -1.408 3.812 3.859
Li 0.572 1.166 8.303
Li 0.548 -1.911 5.765
Li -1.432 0.735 1.321
Al -1.044 0.515 6.025
Al -1.433 5.298 6.312
Al -2.684 1.369 3.812
Al -1.097 -1.071 3.583
Al 1.824 0.532 5.813
Al 0.237 2.972 6.041
Al 0.573 -3.397 3.312
Al 0.184 1.386 3.599
Al 1.481 3.880 3.653
Al -3.072 3.108 1.598

***

5
Lattice="-0.279 -2.462 4.859 -4.259 -2.935 -1.732 3.397 -3.883 -1.772" Properties=species:S:1:pos:R:3 comment="Sc3InCl | Alexandria | PBE | relaxed" space_group=Pm-3m e_form_raw_ev_per_atom=0.333 pbc="T T T"
Sc -2.129 -1.468 -0.866
Sc 1.698 -1.941 -0.886
Sc -0.140 -1.231 2.430
Cl -0.571 -4.640 0.678
In 0.000 0.000 0.000

***

8
Lattice="-6.092 -1.832 1.458 -1.137 -1.238 -6.307 -1.926 -6.601 -1.734" Properties=species:S:1:pos:R:3 comment="Y2CI | Alexandria | PBE | relaxed" space_group=I-42d e_form_raw_ev_per_atom=-0.373 pbc="T T T"
I 0.000 0.000 0.000
I -5.817 -4.984 -1.350
Y -3.805 -2.762 -0.461
Y -2.580 -2.842 -4.043
Y -4.273 -6.230 -3.768
Y -7.654 -7.510 -4.895
C -3.615 -1.535 -2.424
C -3.339 -4.687 -5.233

***

7
Lattice="3.872 0.000 0.514 0.000 3.843 0.000 -0.200 0.000 16.356" Properties=species:S:1:pos:R:3 comment="Ca2Ac2In3 | Alexandria | PBE | relaxed" formation_energy_mev_per_atom=-338 space_group=Cmmm pbc="T T T"
Ca 2.580 1.921 10.251
Ca 1.092 1.921 6.619
Ac 2.035 1.921 14.360
Ac 1.637 1.921 2.510
In 3.270 0.000 5.051
In 0.000 0.000 0.000
In 0.402 0.000 11.818